(1)
# Li7CrO6

A relaxed structure of Li7CrO6 (PBEsol, the Alexandria database).

E_form (uncorrected) ... -1.91 eV per atom

Structure (CIF):
```
data_Li7CrO6
_chemical_formula_sum 'Li28 Cr4 O24'
_space_group_name_H-M_alt 'C 1 c 1'
_space_group_IT_number 9
_space_group_name_Hall 'C -2yc'
_cell_length_a 9.454
_cell_length_b 5.576
_cell_length_c 10.534
_cell_angle_alpha 90.00
_cell_angle_beta 90.07
_cell_angle_gamma 90.00
loop_
_atom_site_label
_atom_site_type_symbol
_atom_site_fract_x
_atom_site_fract_y
_atom_site_fract_z
Li1 Li 0.000 0.001 0.000
Li2 Li 0.156 0.108 0.229
Li3 Li 0.170 0.196 0.856
Li4 Li 0.314 0.365 0.353
Li5 Li 0.331 0.021 0.501
Li6 Li 0.463 0.192 0.229
Li7 Li 0.464 0.195 0.829
Cr1 Cr 0.161 0.500 0.092
O1 O 0.000 0.022 0.818
O2 O 0.013 0.352 0.543
O3 O 0.145 0.488 0.256
O4 O 0.164 0.205 0.046
O5 O 0.309 0.365 0.540
O6 O 0.319 0.024 0.319
```



(2)
# Li5CrO5

A relaxed structure of Li5CrO5 (PBEsol, the Alexandria database).

E_form (uncorrected) ... -1.94 eV per atom

Structure (CIF):
```
data_Li5CrO5
_chemical_formula_sum 'Li10 Cr2 O10'
_space_group_name_H-M_alt 'C 1 2 1'
_space_group_IT_number 5
_space_group_name_Hall 'C 2y'
_cell_length_a 9.237
_cell_length_b 4.011
_cell_length_c 5.568
_cell_angle_alpha 90.00
_cell_angle_beta 108.68
_cell_angle_gamma 90.00
loop_
_atom_site_label
_atom_site_type_symbol
_atom_site_fract_x
_atom_site_fract_y
_atom_site_fract_z
Li1 Li 0.000 0.000 0.000
Li2 Li 0.190 0.482 0.360
Li3 Li 0.207 0.481 0.838
Cr1 Cr 0.000 0.909 0.500
O1 O 0.000 0.498 0.500
O2 O 0.141 0.993 0.334
O3 O 0.153 0.991 0.809
```